A geometry-optimized Pa3Si6Pd20 structure, computed with PBE-GGA.

Computed properties:
crystal system	cubic
electronic total energy	-185.76	eV per cell
ΔE_f (raw)	-0.72	eV per atom
size of the total moment	0.43	Bohr magnetons per cell

Lattice parameters (Å, degrees): 8.7224 8.7225 8.7225 60.00 60.00 60.00
Site moments in Bohr magnetons follow the coordinates.
Fractional positions:
Pa 0.7500 0.7500 0.7500  0.12
Pa 0.2500 0.2500 0.2500  0.12
Pa 0.0000 0.0000 0.0000  0.20
Si 0.2679 0.7321 0.7321  0.00
Si 0.7321 0.2679 0.2679  0.00
Si 0.2679 0.2679 0.7321  0.00
Si 0.7321 0.2679 0.7321  0.00
Si 0.2679 0.7321 0.2679  0.00
Si 0.7321 0.7321 0.2679  0.00
Pd 0.3823 0.3823 0.8530  0.00
Pd 0.1470 0.6177 0.6177  0.00
Pd 0.6552 0.0000 0.0000  0.00
Pd 0.6552 0.3448 0.0000  0.00
Pd 0.0000 0.0000 0.6552  0.00
Pd 0.3823 0.8530 0.3823  0.00
Pd 0.0000 0.3448 0.6552  0.00
Pd 0.6552 0.0000 0.3448  0.00
Pd 0.0000 0.6552 0.0000  0.00
Pd 0.0000 0.0000 0.3448  0.00
Pd 0.3448 0.0000 0.6552  0.00
Pd 0.0000 0.3448 0.0000  0.00
Pd 0.3448 0.6552 0.0000  0.00
Pd 0.3448 0.0000 0.0000  0.00
Pd 0.3823 0.3823 0.3823  0.00
Pd 0.6177 0.6177 0.1470  0.00
Pd 0.6177 0.6177 0.6177  0.00
Pd 0.6177 0.1470 0.6177  0.00
Pd 0.8530 0.3823 0.3823  0.00
Pd 0.0000 0.6552 0.3448  0.00